#w
# Li6Ga12Rh

A relaxed Li6Ga12Rh crystal (PBE, the Alexandria database).

Cell lengths 6.826, 6.826, 6.826 Å; angles 95.04, 95.04, 95.04 degrees
Sites, in units of the cell vectors:
Li 0.216 0.382 0.762
Li 0.238 0.784 0.618
Li 0.382 0.762 0.216
Li 0.618 0.238 0.784
Li 0.762 0.216 0.382
Li 0.784 0.618 0.238
Ga 0.043 0.710 0.955
Ga 0.045 0.957 0.290
Ga 0.134 0.458 0.375
Ga 0.290 0.045 0.957
Ga 0.375 0.134 0.458
Ga 0.458 0.375 0.134
Ga 0.542 0.625 0.866
Ga 0.625 0.866 0.542
Ga 0.710 0.955 0.043
Ga 0.866 0.542 0.625
Ga 0.955 0.043 0.710
Ga 0.957 0.290 0.045
Rh 0.500 0.500 0.500

Computed properties:
- Symmetry: R-3
- Total magnetization: 0.00 Bohr magnetons per cell


#x
# Li6Ga12Rh

A relaxed Li6Ga12Rh crystal (PBE, the Alexandria database).

Cell lengths 7.142, 7.142, 7.142 Å; angles 103.89, 103.89, 103.89 degrees
Sites, in units of the cell vectors:
Li 0.064 0.295 0.400
Li 0.295 0.400 0.064
Li 0.400 0.064 0.295
Li 0.600 0.936 0.705
Li 0.705 0.600 0.936
Li 0.936 0.705 0.600
Ga 0.019 0.898 0.315
Ga 0.102 0.685 0.981
Ga 0.225 0.656 0.375
Ga 0.315 0.019 0.898
Ga 0.344 0.625 0.775
Ga 0.375 0.225 0.656
Ga 0.625 0.775 0.344
Ga 0.656 0.375 0.225
Ga 0.685 0.981 0.102
Ga 0.775 0.344 0.625
Ga 0.898 0.315 0.019
Ga 0.981 0.102 0.685
Rh 0.500 0.500 0.500

Computed properties:
- Symmetry: R-3
- Total magnetization: 0.00 Bohr magnetons per cell


Sorted by energy, starting with the most stable: #w, #x.


#w
# LiGa3Rh2

A relaxed LiGa3Rh2 crystal (PBE, the Alexandria database).

Cell lengths 5.453, 9.419, 3.973 Å; angles 90.00, 90.00, 90.00 degrees
Sites, in units of the cell vectors:
Li 0.000 0.000 0.000
Li 0.500 0.500 0.000
Ga 0.000 0.500 0.500
Ga 0.250 0.250 0.500
Ga 0.250 0.750 0.500
Ga 0.500 0.000 0.500
Ga 0.750 0.250 0.500
Ga 0.750 0.750 0.500
Rh 0.000 0.333 0.000
Rh 0.000 0.667 0.000
Rh 0.500 0.167 0.000
Rh 0.500 0.833 0.000

Computed properties:
- Symmetry: Cmmm
- Total magnetization: 0.00 Bohr magnetons per cell


#x
# LiGa3Rh2

A relaxed LiGa3Rh2 crystal (PBE, the Alexandria database).

Cell lengths 4.287, 4.287, 10.528 Å; angles 90.00, 90.00, 120.00 degrees
Sites, in units of the cell vectors:
Li 0.333 0.667 0.164
Li 0.667 0.333 0.836
Ga 0.000 0.000 0.249
Ga 0.000 0.000 0.751
Ga 0.333 0.667 0.416
Ga 0.333 0.667 0.916
Ga 0.667 0.333 0.084
Ga 0.667 0.333 0.584
Rh 0.000 0.000 0.000
Rh 0.000 0.000 0.500
Rh 0.333 0.667 0.668
Rh 0.667 0.333 0.332

Computed properties:
- Symmetry: P-3m1
- Total magnetization: 0.00 Bohr magnetons per cell


Sorted by energy, starting with the most stable: #x, #w.


#w
# Li2Ga6Rh

A relaxed Li2Ga6Rh crystal (PBE, the Alexandria database).

Cell lengths 5.896, 5.896, 5.314 Å; angles 90.03, 90.03, 59.75 degrees
Sites, in units of the cell vectors:
Li 0.166 0.166 0.168
Li 0.834 0.834 0.832
Ga 0.138 0.680 0.317
Ga 0.319 0.319 0.685
Ga 0.320 0.862 0.683
Ga 0.680 0.138 0.317
Ga 0.681 0.681 0.315
Ga 0.862 0.320 0.683
Rh 0.500 0.500 0.000

Computed properties:
- Symmetry: C2/m
- Total magnetization: 0.00 Bohr magnetons per cell


#x
# Li2Ga6Rh

A relaxed Li2Ga6Rh crystal (PBE, the Alexandria database).

Cell lengths 7.501, 7.501, 2.992 Å; angles 90.00, 90.00, 120.00 degrees
Sites, in units of the cell vectors:
Li 0.333 0.667 0.000
Li 0.667 0.333 0.000
Ga 0.000 0.330 0.500
Ga 0.000 0.670 0.500
Ga 0.330 0.000 0.500
Ga 0.330 0.330 0.500
Ga 0.670 0.000 0.500
Ga 0.670 0.670 0.500
Rh 0.000 0.000 0.000

Computed properties:
- Symmetry: P6/mmm
- Total magnetization: 0.00 Bohr magnetons per cell


Sorted by energy, starting with the most stable: #w, #x.